(one)
Density functional theory data (SCAN) for a crystal of Li3Ti2P3O12 relaxed with PBEsol.

- density of states at the Fermi level (states/eV per cell) = 5.98

Geometry as CIF:
```
data_Li3Ti2P3O12
_cell_length_a 8.3588
_cell_length_b 8.3867
_cell_length_c 8.9948
_cell_angle_alpha 62.33
_cell_angle_beta 62.46
_cell_angle_gamma 60.14
_space_group_name_H-M_alt 'P 1'
_space_group_IT_number 1
loop_
_space_group_symop_operation_xyz
'x,y,z'
loop_
_atom_site_label
_atom_site_type_symbol
_atom_site_fract_x
_atom_site_fract_y
_atom_site_fract_z
Li1 Li 0.0000 0.0000 0.0000
Li2 Li 0.0651 0.4088 0.7137
Li3 Li 0.2532 0.3487 0.9980
Li4 Li 0.4131 0.8084 0.7233
Li5 Li 0.5659 0.6419 0.2112
Li6 Li 0.6635 0.1469 0.7201
Ti1 Ti 0.1807 0.9319 0.2944
Ti2 Ti 0.4770 0.2222 0.4213
Ti3 Ti 0.6806 0.4258 0.8104
Ti4 Ti 0.9770 0.7311 0.9049
P1 P 0.0828 0.1131 0.6119
P2 P 0.2928 0.6193 0.1034
P3 P 0.3731 0.5324 0.6096
P4 P 0.5798 0.0375 0.1074
P5 P 0.7965 0.8261 0.6032
P6 P 0.8746 0.3285 0.1080
O1 O 0.0805 0.2052 0.1261
O2 O 0.1260 0.9229 0.7688
O3 O 0.1361 0.0647 0.4482
O4 O 0.1610 0.5824 0.0553
O5 O 0.1765 0.5370 0.7600
O6 O 0.1971 0.8265 0.1169
O7 O 0.2065 0.2186 0.5857
O8 O 0.3375 0.4722 0.2733
O9 O 0.3426 0.6782 0.4334
O10 O 0.4571 0.9282 0.1409
O11 O 0.4721 0.3255 0.5949
O12 O 0.4866 0.6090 0.9501
O13 O 0.4986 0.5736 0.6602
O14 O 0.5268 0.0874 0.2707
O15 O 0.5355 0.2277 0.9507
O16 O 0.5884 0.9510 0.5907
O17 O 0.7177 0.2808 0.2777
O18 O 0.7964 0.9140 0.0536
O19 O 0.8177 0.8750 0.7397
O20 O 0.8296 0.6101 0.6642
O21 O 0.8337 0.5455 0.0593
O22 O 0.8662 0.2395 0.6669
O23 O 0.8740 0.2862 0.9558
O24 O 0.9452 0.8773 0.4256
```

=====

(two)
Density functional theory data (SCAN) for a crystal of Li3Ti2P3O12 relaxed with PBEsol.

Geometry as CIF:
```
data_Li3Ti2P3O12
_cell_length_a 14.7602
_cell_length_b 8.7568
_cell_length_c 8.4654
_cell_angle_alpha 90.00
_cell_angle_beta 122.19
_cell_angle_gamma 90.00
_space_group_name_H-M_alt 'C 1 2/c 1'
_space_group_IT_number 15
loop_
_space_group_symop_operation_xyz
'x,y,z'
'-x,-y,-z'
'-x,y,-z+1/2'
'x,-y,z+1/2'
'x+1/2,y+1/2,z'
'-x+1/2,-y+1/2,-z'
'-x+1/2,y+1/2,-z+1/2'
'x+1/2,-y+1/2,z+1/2'
loop_
_atom_site_label
_atom_site_type_symbol
_atom_site_fract_x
_atom_site_fract_y
_atom_site_fract_z
Li1 Li 0.0000 0.1437 0.2500
Li2 Li 0.1878 0.3789 0.3058
Ti1 Ti 0.1089 0.2472 0.6401
P1 P 0.0000 0.4546 0.2500
P2 P 0.1388 0.1162 0.0491
O1 O 0.0386 0.1573 0.0541
O2 O 0.0628 0.4525 0.6857
O3 O 0.0877 0.3464 0.4016
O4 O 0.1206 0.1583 0.8591
O5 O 0.1643 0.0572 0.5758
O6 O 0.2326 0.2036 0.2135
```

=====

(three)
Density functional theory data (SCAN) for a crystal of Li3Ti2P3O12 relaxed with PBEsol.

Geometry as CIF:
```
data_Li3Ti2P3O12
_cell_length_a 11.7651
_cell_length_b 11.7651
_cell_length_c 11.7651
_cell_angle_alpha 90.00
_cell_angle_beta 90.00
_cell_angle_gamma 90.00
_space_group_name_H-M_alt 'I a -3 d'
_space_group_IT_number 230
_space_group_name_Hall '-I 4bd 2c 3'
loop_
_atom_site_label
_atom_site_type_symbol
_atom_site_fract_x
_atom_site_fract_y
_atom_site_fract_z
Li1 Li 0.0000 0.2500 0.1250
Ti1 Ti 0.0000 0.0000 0.0000
P1 P 0.0000 0.2500 0.3750
O1 O 0.0427 0.0481 0.6588
```

=====

(four)
Density functional theory data (SCAN) for a crystal of Li3Ti2P3O12 relaxed with PBEsol.

Geometry as CIF:
```
data_Li3Ti2P3O12
_cell_length_a 8.7844
_cell_length_b 8.6882
_cell_length_c 14.8976
_cell_angle_alpha 90.00
_cell_angle_beta 125.74
_cell_angle_gamma 90.00
_space_group_name_H-M_alt 'P 1 21/c 1'
_space_group_IT_number 14
loop_
_space_group_symop_operation_xyz
'x,y,z'
'-x,-y,-z'
'-x,y+1/2,-z+1/2'
'x,-y+1/2,z+1/2'
loop_
_atom_site_label
_atom_site_type_symbol
_atom_site_fract_x
_atom_site_fract_y
_atom_site_fract_z
Li1 Li 0.0296 0.2325 0.3210
Li2 Li 0.3102 0.1977 0.2425
Li3 Li 0.3784 0.5788 0.3003
Ti1 Ti 0.1363 0.5443 0.3892
Ti2 Ti 0.3633 0.5322 0.1105
P1 P 0.0457 0.0975 0.6489
P2 P 0.2521 0.6144 0.6491
P3 P 0.4548 0.2469 0.9915
O1 O 0.0299 0.2403 0.1871
O2 O 0.0735 0.5276 0.2319
O3 O 0.0934 0.5915 0.6636
O4 O 0.1217 0.5575 0.9662
O5 O 0.1819 0.5879 0.5291
O6 O 0.2350 0.1029 0.6621
O7 O 0.2645 0.1613 0.9273
O8 O 0.3260 0.7189 0.1848
O9 O 0.3820 0.6381 0.4278
O10 O 0.4080 0.0077 0.2212
O11 O 0.4485 0.1285 0.5621
O12 O 0.4766 0.1856 0.4038
```

=====

The structure with the most favorable energy is (four); the runner-up is 0.8 kJ/mol of atoms above it.

=====

(one)
Density functional theory data (SCAN) for a crystal of Li3Ti2P3O12 relaxed with PBEsol.

- density of states at the Fermi level (states/eV per cell) = 58.25

Geometry as CIF:
```
data_Li3Ti2P3O12
_cell_length_a 8.3990
_cell_length_b 8.3990
_cell_length_c 22.6781
_cell_angle_alpha 90.00
_cell_angle_beta 90.00
_cell_angle_gamma 120.00
_space_group_name_H-M_alt 'R -3'
_space_group_IT_number 148
_space_group_name_Hall '-R 3'
loop_
_atom_site_label
_atom_site_type_symbol
_atom_site_fract_x
_atom_site_fract_y
_atom_site_fract_z
Li1 Li 0.0182 0.6369 0.2145
Ti1 Ti 0.0000 0.0000 0.1502
Ti2 Ti 0.0000 0.0000 0.3539
P1 P 0.0017 0.2917 0.2498
O1 O 0.0037 0.1950 0.3060
O2 O 0.0512 0.2148 0.5892
O3 O 0.0924 0.5198 0.8648
O4 O 0.0979 0.2343 0.8985
```

=====

(two)
Density functional theory data (SCAN) for a crystal of Li3Ti2P3O12 relaxed with PBEsol.

- density of states at the Fermi level (states/eV per cell) = 5.57

Geometry as CIF:
```
data_Li3Ti2P3O12
_cell_length_a 8.1636
_cell_length_b 5.4546
_cell_length_c 18.1128
_cell_angle_alpha 90.00
_cell_angle_beta 90.62
_cell_angle_gamma 90.00
_space_group_name_H-M_alt 'C 1 2/m 1'
_space_group_IT_number 12
loop_
_space_group_symop_operation_xyz
'x,y,z'
'-x,-y,-z'
'-x,y,-z'
'x,-y,z'
'x+1/2,y+1/2,z'
'-x+1/2,-y+1/2,-z'
'-x+1/2,y+1/2,-z'
'x+1/2,-y+1/2,z'
loop_
_atom_site_label
_atom_site_type_symbol
_atom_site_fract_x
_atom_site_fract_y
_atom_site_fract_z
Li1 Li 0.0013 0.0000 0.3282
Li2 Li 0.1671 0.5000 0.7469
Li3 Li 0.1705 0.5000 0.4082
Ti1 Ti 0.0000 0.0000 0.0000
Ti2 Ti 0.0000 0.0000 0.5000
Ti3 Ti 0.0015 0.0000 0.1569
P1 P 0.1492 0.5000 0.5808
P2 P 0.1497 0.5000 0.9200
P3 P 0.1544 0.5000 0.2415
O1 O 0.0318 0.2716 0.5780
O2 O 0.0355 0.2696 0.9205
O3 O 0.0374 0.2710 0.2371
O4 O 0.2311 0.0000 0.8257
O5 O 0.2396 0.0000 0.0121
O6 O 0.2436 0.0000 0.4897
O7 O 0.2457 0.0000 0.3503
O8 O 0.2461 0.0000 0.6876
O9 O 0.2487 0.0000 0.1511
```

=====

(three)
Density functional theory data (SCAN) for a crystal of Li3Ti2P3O12 relaxed with PBEsol.

- density of states at the Fermi level (states/eV per cell) = 4.08

Geometry as CIF:
```
data_Li3Ti2P3O12
_cell_length_a 8.3976
_cell_length_b 8.7672
_cell_length_c 12.3419
_cell_angle_alpha 90.00
_cell_angle_beta 93.54
_cell_angle_gamma 90.00
_space_group_name_H-M_alt 'P 1 2/c 1'
_space_group_IT_number 13
loop_
_space_group_symop_operation_xyz
'x,y,z'
'-x,-y,-z'
'-x,y,-z+1/2'
'x,-y,z+1/2'
loop_
_atom_site_label
_atom_site_type_symbol
_atom_site_fract_x
_atom_site_fract_y
_atom_site_fract_z
Li1 Li 0.0000 0.0000 0.0000
Li2 Li 0.0000 0.1007 0.2500
Li3 Li 0.2492 0.3107 0.5603
Li4 Li 0.5000 0.3989 0.2500
Li5 Li 0.5000 0.5000 0.0000
Ti1 Ti 0.2149 0.4972 0.8555
Ti2 Ti 0.2866 0.0031 0.1450
P1 P 0.0000 0.2022 0.7500
P2 P 0.1582 0.3574 0.1042
P3 P 0.3403 0.1433 0.3964
P4 P 0.5000 0.3008 0.7500
O1 O 0.0181 0.4029 0.3962
O2 O 0.0656 0.0946 0.6628
O3 O 0.1267 0.3033 0.8083
O4 O 0.1599 0.1838 0.0839
O5 O 0.2437 0.0907 0.4926
O6 O 0.2441 0.1001 0.2905
O7 O 0.2475 0.4020 0.2132
O8 O 0.2487 0.4478 0.0186
O9 O 0.3574 0.3198 0.4127
O10 O 0.3691 0.2053 0.6904
O11 O 0.4387 0.4090 0.8387
O12 O 0.4913 0.0793 0.1051
```

=====

The structure with the most favorable energy is (two); the runner-up is 0.7 kJ/mol of atoms above it.